# 1
7
Lattice="5.276 0.000 0.000 -2.638 5.874 0.270 0.000 -1.559 8.058" Properties=species:S:1:pos:R:3 comment="AcLa2Pm2Y2, optimized geometry, DFT PBE" formation_energy_mev_per_atom=33 m_tot_mub_per_cell=0.00 pbc="T T T"
La 2.638 2.297 1.303
La 0.000 2.018 7.025
Y 2.638 3.317 4.766
Y 0.000 0.998 3.562
Ac 0.000 0.000 0.000
Pm 2.638 -0.239 5.733
Pm 0.000 4.554 2.595



# 2
7
Lattice="3.962 0.000 0.000 -1.981 6.010 -0.159 0.000 -2.990 7.782" Properties=species:S:1:pos:R:3 comment="Tb2Y3Os2, optimized geometry, DFT PBE" formation_energy_mev_per_atom=-215 m_tot_mub_per_cell=0.00 pbc="T T T"
Tb 0.000 -0.436 6.290
Tb 1.981 3.455 1.333
Y 1.981 0.213 3.310
Y 0.000 2.806 4.313
Y 1.981 0.000 0.000
Os 1.981 1.521 6.009
Os 0.000 1.499 1.613



# 3
12
Lattice="-3.926 0.954 1.397 -2.063 -0.121 -5.714 -3.268 -5.773 1.302" Properties=species:S:1:pos:R:3 comment="Zn6PdRh5, optimized geometry, DFT PBE" formation_energy_mev_per_atom=-424 m_tot_mub_per_cell=0.00 pbc="T T T"
Rh -1.032 -0.061 -2.857
Rh -2.396 -1.599 0.899
Rh -4.797 -3.219 1.800
Rh -3.427 -1.657 -1.958
Rh -5.829 -3.283 -1.056
Zn -4.883 -1.176 0.163
Zn -3.506 0.387 -3.573
Zn -4.373 -3.764 -3.177
Zn -3.349 -3.704 -0.338
Zn -5.908 -1.236 -2.676
Zn -2.484 0.447 -0.743
Pd 0.000 0.000 0.000



# 4
4
Lattice="3.968 0.000 0.000 0.000 4.163 0.000 -1.984 0.000 5.332" Properties=species:S:1:pos:R:3 comment="DyErSiPt, optimized geometry, DFT PBE" e_form_raw_ev_per_atom=-1.0460 m_tot_mub_per_cell=0.00 pbc="T T T"
Pt 0.000 0.000 4.508
Dy 1.984 2.081 3.827
Si 1.984 2.081 0.823
Er 0.000 0.000 1.506



# 5
6
Lattice="-0.841 3.457 -3.060 1.322 -2.774 -3.497 -7.323 -0.876 1.025" Properties=species:S:1:pos:R:3 comment="ThSc5, optimized geometry, DFT PBE" formation_energy_mev_per_atom=40 m_tot_mub_per_cell=0.00 pbc="T T T"
Sc 0.240 0.341 -3.279
Sc -1.586 -2.150 -1.992
Sc -2.629 0.978 -1.770
Sc -4.214 -1.171 -3.762
Sc -4.416 -1.500 -0.480
Th 0.000 0.000 0.000



# 6
14
Lattice="-2.669 4.288 -0.406 1.996 0.670 -6.051 -4.040 -5.370 1.465" Properties=species:S:1:pos:R:3 comment="Ta2Ni5, optimized geometry, DFT PBE" formation_energy_mev_per_atom=-269 m_tot_mub_per_cell=0.00 pbc="T T T"
Ta -1.854 1.683 -1.662
Ta 0.749 -0.036 -5.304
Ta -5.462 -0.377 0.312
Ta -2.859 -2.095 -3.330
Ni -0.909 1.920 -5.369
Ni -4.027 0.185 -3.197
Ni -1.004 3.551 -3.330
Ni -1.616 0.120 -3.912
Ni 0.331 1.407 -3.127
Ni -3.804 -2.332 0.377
Ni -0.687 -0.597 -1.795
Ni -1.762 -2.677 -0.878
Ni -2.951 2.265 -4.115
Ni -3.097 -0.533 -1.081



# 7
10
Lattice="-3.284 -0.186 0.623 0.924 -0.396 4.752 -0.529 13.430 1.218" Properties=species:S:1:pos:R:3 comment="DyCd2Ag2, optimized geometry, DFT PBE" formation_energy_mev_per_atom=-174 m_tot_mub_per_cell=0.00 pbc="T T T"
Ag -0.471 8.386 4.513
Ag -1.100 12.797 2.520
Ag -2.418 4.462 2.080
Ag -1.790 0.051 4.073
Cd -0.581 11.176 4.767
Cd -2.016 5.809 4.597
Cd -2.308 1.672 1.826
Cd -0.873 7.040 1.996
Dy -2.629 9.840 2.572
Dy -0.260 3.008 4.021



# 8
4
Lattice="-1.827 3.039 0.673 -3.181 0.586 -1.602 -6.880 -3.811 8.203" Properties=species:S:1:pos:R:3 comment="CaPm2Tc, optimized geometry, DFT PBE" formation_energy_mev_per_atom=329 m_tot_mub_per_cell=0.00 pbc="T T T"
Tc -5.944 -0.093 3.637
Pm -5.206 -2.198 5.469
Pm -6.682 2.012 1.806
Ca 0.000 0.000 0.000